Entry 1:
Computed, not measured: a PBEsol-optimized structure of LiMnPO4 at the SCAN level of DFT.

Cell lengths 5.968, 7.634, 8.485 Å; angles 116.73, 90.00, 90.00 degrees
Fractional positions:
O  0.483  0.650  0.348
O  0.983  0.302  0.652
Mn  0.984  0.393  0.199
P  0.983  0.165  0.746
O  0.482  0.653  0.944
O  0.198  0.037  0.689
O  0.983  0.698  0.348
O  0.269  0.348  0.312
O  0.698  0.348  0.311
O  0.769  0.964  0.312
O  0.698  0.652  0.689
P  0.983  0.835  0.254
Li  0.733  0.761  0.522
O  0.482  0.347  0.056
Mn  0.484  0.806  0.199
O  0.483  0.350  0.652
Mn  0.984  0.607  0.801
Li  0.233  0.761  0.522
P  0.483  0.581  0.746
O  0.769  0.036  0.688
Li  0.733  0.239  0.478
P  0.483  0.419  0.254
Li  0.233  0.239  0.478
O  0.982  0.292  0.944
O  0.982  0.708  0.056
O  0.269  0.652  0.688
O  0.198  0.963  0.311
Mn  0.484  0.194  0.801

- energy relative to the lowest polymorph listed for this composition (eV per atom) = 0.0485
- formation energy (no corrections) (eV/atom) = -2.4392

Entry 2:
Computed, not measured: a PBEsol-optimized structure of HfCrSeBr2 at the SCAN level of DFT.

Cell lengths 5.114, 5.169, 5.169 Å; angles 90.00, 90.00, 90.00 degrees
Fractional positions:
Cr  0.500  0.500  0.500
Br  0.000  0.500  0.000
Hf  0.000  0.000  0.000
Se  0.500  0.000  0.000
Br  0.000  0.000  0.500

- formation energy (no corrections) (eV/atom) = -0.4319

Entry 3:
Computed, not measured: a PBEsol-optimized structure of H2Pd2Pt at the SCAN level of DFT.

Cell lengths 2.883, 2.883, 6.373 Å; angles 103.07, 103.07, 90.00 degrees
Fractional positions:
H  0.250  0.750  0.500
Pd  0.343  0.343  0.687
Pt  0.000  0.000  0.000
H  0.750  0.250  0.500
Pd  0.657  0.657  0.313

Entry 4:
Computed, not measured: a PBEsol-optimized structure of Li3HfSe at the SCAN level of DFT.

Cell lengths 4.584, 4.584, 4.584 Å; angles 90.00, 90.00, 90.00 degrees
Fractional positions:
Hf  0.500  0.500  0.500
Li  0.000  0.500  0.000
Se  0.000  0.000  0.000
Li  0.500  0.000  0.000
Li  0.000  0.000  0.500

- formation energy (no corrections) (eV/atom) = 0.1668

Entry 5:
Computed, not measured: a PBEsol-optimized structure of Zr2ScCd at the SCAN level of DFT.

Cell lengths 3.147, 3.147, 8.697 Å; angles 90.00, 90.00, 90.00 degrees
Fractional positions:
Zr  0.000  0.000  0.998
Cd  0.000  0.000  0.504
Sc  0.500  0.500  0.744
Zr  0.500  0.500  0.254

- energy relative to the lowest polymorph listed for this composition (eV per atom) = 0.0000

Entry 6:
Computed, not measured: a PBEsol-optimized structure of Cd2Ge2Au at the SCAN level of DFT.

Cell lengths 4.174, 4.174, 6.692 Å; angles 108.17, 108.17, 90.00 degrees
Fractional positions:
Cd  0.750  0.250  0.500
Cd  0.250  0.750  0.500
Ge  0.401  0.401  0.802
Au  0.000  0.000  0.000
Ge  0.599  0.599  0.198

Number 1: magnetization 20.0 μB per cell, E -10.435 eV/atom. Number 2: magnetization 5.4 μB per cell, E -28.443 eV/atom. Number 3: magnetization 0.0 μB per cell, E -28.551 eV/atom. Number 4: magnetization 0.7 μB per cell, E -17.817 eV/atom. Number 5: magnetization 0.0 μB per cell, E -26.660 eV/atom. Number 6: magnetization 0.0 μB per cell, E -33.266 eV/atom.